# Cs2GeH (PBE-GGA, optimized geometry)
# Raw total energy, eV for the cell shown: -19.18
# Polymorph energy (0 for the lowest one), eV per atom: 0.002
# Density of states at the Fermi level, states/eV/atom: 0.427
# Total magnetic moment, μB/f.u.: 0.00
data_Cs2GeH
_chemical_formula_sum 'Cs4 Ge2 H2'
_cell_length_a 4.2620
_cell_length_b 4.6336
_cell_length_c 18.6561
_cell_angle_alpha 90.00
_cell_angle_beta 90.00
_cell_angle_gamma 90.00
_space_group_name_H-M_alt 'I m m 2'
_space_group_IT_number 44
_space_group_name_Hall 'I 2 -2'
loop_
_atom_site_label
_atom_site_type_symbol
_atom_site_fract_x
_atom_site_fract_y
_atom_site_fract_z
Cs1 Cs 0.0000 0.0000 0.0000
Cs2 Cs 0.0000 0.0000 0.2219
Ge1 Ge 0.0000 0.0000 0.6072
H1 H 0.0000 0.0000 0.6958